# 1
MgMnAl2: relaxed, GGA-PBE.

```
4
Lattice="2.818 0.008 0.000 -0.008 2.818 0.000 0.000 0.000 8.061" Properties=species:S:1:pos:R:3 pbc="T T T"
Mn 1.405 1.413 6.046
Mg 1.405 1.413 2.015
Al 0.000 0.000 7.742
Al 0.000 0.000 4.350
```

Results
Total DFT energy (no corrections) (eV/atom): -4.66
Energy relative to the elements (eV per atom): -0.10
Spin magnetization (μB per cell): 2.45

# 2
AlCr2Re: relaxed, GGA-PBE.

```
4
Lattice="2.605 0.000 0.000 0.000 4.038 0.000 0.000 0.000 5.059" Properties=species:S:1:pos:R:3 pbc="T T T"
Cr 0.000 0.000 2.602
Cr 0.000 0.000 4.987
Al 1.302 2.019 3.794
Re 1.302 2.019 1.265
```

Results
Total DFT energy (no corrections) (eV/atom): -8.78
Energy relative to the elements (eV per atom): 0.08
Spin magnetization (μB per cell): 0.00

# 3
RbDyFeCl6: relaxed, GGA-PBE.

```
9
Lattice="6.723 0.000 0.003 3.362 5.824 0.002 0.007 0.000 7.371" Properties=species:S:1:pos:R:3 pbc="T T T"
Cl 5.553 2.230 5.161
Cl 5.901 5.726 5.175
Cl 7.552 5.726 2.203
Cl 8.749 3.697 5.155
Cl 7.900 2.230 2.216
Cl 4.704 3.697 2.222
Dy 3.365 1.935 3.687
Fe 6.726 3.879 3.689
Rb 3.369 5.822 7.373
```

Results
Total DFT energy (no corrections) (eV/atom): -4.49
Spin magnetization (μB per cell): 4.00
Uncorrected formation energy (eV per atom): -1.6985